## MgInAu2O6 (PBE-GGA)

Data for a geometry-optimized MgInAu2O6 structure.

Summary:
**SG**: No. 15
**Energy relative to the elements, uncorrected**: -8.47 eV per formula unit
**Density of states at the Fermi level**: 6.541 states/eV/f.u.
**Total magnetic moment**: 0.93 μB per formula unit
**Calculated density**: 7.95 g/cm3
**Total energy**: -98.2 eV for the cell shown

abc: 7.200 7.200 6.125
angles: 105.22 105.22 60.28
Sites, in units of the cell vectors:
Mg (0.115, 0.885, 0.750)
Mg (0.885, 0.115, 0.250)
In (0.378, 0.622, 0.250)
In (0.622, 0.378, 0.750)
Au (0.114, 0.375, 0.749)
Au (0.375, 0.114, 0.249)
Au (0.625, 0.886, 0.751)
Au (0.886, 0.625, 0.251)
O (0.073, 0.780, 0.381)
O (0.079, 0.321, 0.314)
O (0.220, 0.927, 0.119)
O (0.312, 0.515, 0.872)
O (0.321, 0.079, 0.814)
O (0.485, 0.688, 0.628)
O (0.515, 0.312, 0.372)
O (0.679, 0.921, 0.186)
O (0.688, 0.485, 0.128)
O (0.780, 0.073, 0.881)
O (0.921, 0.679, 0.686)
O (0.927, 0.220, 0.619)